The following is a PBEsol calculation of crystalline LaAl2Ni at its relaxed geometry, from Alexandria via LeMat-Bulk.

Unit cell a=4.701 b=4.701 c=4.701 alpha=60.00 beta=60.00 gamma=60.00
Sites, in units of the cell vectors:
La1 0.500 0.500 0.500
Al1 0.000 0.000 0.000
Al2 0.750 0.750 0.750
Ni1 0.250 0.250 0.250

Values from the calculation:
Its crystal system is cubic. For the total energy, the calculation gives -20.69 eV for the cell shown.